Entry 1:
# Li2AgW (GGA-PBE, relaxed)
data_Li2AgW
_cell_length_a 4.974
_cell_length_b 4.974
_cell_length_c 5.139
_cell_angle_alpha 97.78
_cell_angle_beta 97.78
_cell_angle_gamma 30.65
_space_group_name_H-M_alt 'P 1'
_space_group_IT_number 1
loop_
_space_group_symop_operation_xyz
'x,y,z'
loop_
_atom_site_label
_atom_site_type_symbol
_atom_site_fract_x
_atom_site_fract_y
_atom_site_fract_z
_atom_site_occupancy
Li1 Li 0.246 0.246 0.256 1
Li2 Li 0.754 0.754 0.744 1
Ag1 Ag 0.500 0.500 0.000 1
W1 W 0.000 0.000 0.500 1
# DFT formation energy	0.468	eV per atom
# N(E_F)	0.61	states/eV per atom
# spin magnetization	0.95	μB/f.u.

Entry 2:
# LiAgW2 (GGA-PBE, relaxed)
data_LiAgW2
_cell_length_a 3.683
_cell_length_b 3.683
_cell_length_c 4.636
_cell_angle_alpha 90.00
_cell_angle_beta 90.00
_cell_angle_gamma 90.00
_space_group_name_H-M_alt 'P 1'
_space_group_IT_number 1
loop_
_space_group_symop_operation_xyz
'x,y,z'
loop_
_atom_site_label
_atom_site_type_symbol
_atom_site_fract_x
_atom_site_fract_y
_atom_site_fract_z
_atom_site_occupancy
Li1 Li 0.000 0.000 0.000 1
Ag1 Ag 0.500 0.500 0.000 1
W1 W 0.000 0.500 0.500 1
W2 W 0.500 0.000 0.500 1
# DFT formation energy	0.554	eV per atom
# N(E_F)	1.07	states/eV per atom
# spin magnetization	0.00	μB/f.u.

Entry 3:
# Li2AgW (GGA-PBE, relaxed)
data_Li2AgW
_cell_length_a 9.768
_cell_length_b 9.768
_cell_length_c 9.768
_cell_angle_alpha 16.31
_cell_angle_beta 16.31
_cell_angle_gamma 16.31
_space_group_name_H-M_alt 'P 1'
_space_group_IT_number 1
loop_
_space_group_symop_operation_xyz
'x,y,z'
loop_
_atom_site_label
_atom_site_type_symbol
_atom_site_fract_x
_atom_site_fract_y
_atom_site_fract_z
_atom_site_occupancy
Li1 Li 0.249 0.249 0.249 1
Li2 Li 0.751 0.751 0.751 1
Ag1 Ag 0.500 0.500 0.500 1
W1 W 0.000 0.000 0.000 1
# DFT formation energy	0.257	eV per atom
# N(E_F)	0.92	states/eV per atom
# spin magnetization	0.00	μB/f.u.

Entry 4:
# LiAgW2 (GGA-PBE, relaxed)
data_LiAgW2
_cell_length_a 5.324
_cell_length_b 5.324
_cell_length_c 4.446
_cell_angle_alpha 102.86
_cell_angle_beta 102.86
_cell_angle_gamma 31.65
_space_group_name_H-M_alt 'P 1'
_space_group_IT_number 1
loop_
_space_group_symop_operation_xyz
'x,y,z'
loop_
_atom_site_label
_atom_site_type_symbol
_atom_site_fract_x
_atom_site_fract_y
_atom_site_fract_z
_atom_site_occupancy
Li1 Li 0.000 0.000 0.000 1
Ag1 Ag 0.500 0.500 0.500 1
W1 W 0.244 0.244 0.748 1
W2 W 0.756 0.756 0.252 1
# DFT formation energy	0.478	eV per atom
# N(E_F)	0.70	states/eV per atom
# spin magnetization	0.00	μB/f.u.

Entry 5:
# LiAgW2 (GGA-PBE, relaxed)
data_LiAgW2
_cell_length_a 4.712
_cell_length_b 4.712
_cell_length_c 5.410
_cell_angle_alpha 93.31
_cell_angle_beta 93.31
_cell_angle_gamma 32.41
_space_group_name_H-M_alt 'P 1'
_space_group_IT_number 1
loop_
_space_group_symop_operation_xyz
'x,y,z'
loop_
_atom_site_label
_atom_site_type_symbol
_atom_site_fract_x
_atom_site_fract_y
_atom_site_fract_z
_atom_site_occupancy
Li1 Li 0.000 0.000 0.000 1
Ag1 Ag 0.749 0.749 0.214 1
W1 W 0.245 0.245 0.734 1
W2 W 0.490 0.490 0.511 1
# DFT formation energy	0.546	eV per atom
# N(E_F)	0.78	states/eV per atom
# spin magnetization	0.00	μB/f.u.

Entry 6:
# LiAgW4 (GGA-PBE, relaxed)
data_LiAgW4
_cell_length_a 5.311
_cell_length_b 5.311
_cell_length_c 5.311
_cell_angle_alpha 60.00
_cell_angle_beta 60.00
_cell_angle_gamma 60.00
_space_group_name_H-M_alt 'P 1'
_space_group_IT_number 1
loop_
_space_group_symop_operation_xyz
'x,y,z'
loop_
_atom_site_label
_atom_site_type_symbol
_atom_site_fract_x
_atom_site_fract_y
_atom_site_fract_z
_atom_site_occupancy
Li1 Li 0.000 0.000 0.000 1
Ag1 Ag 0.250 0.250 0.250 1
W1 W 0.122 0.626 0.626 1
W2 W 0.626 0.122 0.626 1
W3 W 0.626 0.626 0.122 1
W4 W 0.626 0.626 0.626 1
# DFT formation energy	0.767	eV per atom
# N(E_F)	0.59	states/eV per atom
# spin magnetization	0.00	μB/f.u.

Copy entry 5 word for word.
# LiAgW2 (GGA-PBE, relaxed)
data_LiAgW2
_cell_length_a 4.712
_cell_length_b 4.712
_cell_length_c 5.410
_cell_angle_alpha 93.31
_cell_angle_beta 93.31
_cell_angle_gamma 32.41
_space_group_name_H-M_alt 'P 1'
_space_group_IT_number 1
loop_
_space_group_symop_operation_xyz
'x,y,z'
loop_
_atom_site_label
_atom_site_type_symbol
_atom_site_fract_x
_atom_site_fract_y
_atom_site_fract_z
_atom_site_occupancy
Li1 Li 0.000 0.000 0.000 1
Ag1 Ag 0.749 0.749 0.214 1
W1 W 0.245 0.245 0.734 1
W2 W 0.490 0.490 0.511 1
# DFT formation energy	0.546	eV per atom
# N(E_F)	0.78	states/eV per atom
# spin magnetization	0.00	μB/f.u.

spin magnetization of number 1 (Li2AgW)? 0.95 μB/f.u.

Please write out number 5 again, unchanged.
# LiAgW2 (GGA-PBE, relaxed)
data_LiAgW2
_cell_length_a 4.712
_cell_length_b 4.712
_cell_length_c 5.410
_cell_angle_alpha 93.31
_cell_angle_beta 93.31
_cell_angle_gamma 32.41
_space_group_name_H-M_alt 'P 1'
_space_group_IT_number 1
loop_
_space_group_symop_operation_xyz
'x,y,z'
loop_
_atom_site_label
_atom_site_type_symbol
_atom_site_fract_x
_atom_site_fract_y
_atom_site_fract_z
_atom_site_occupancy
Li1 Li 0.000 0.000 0.000 1
Ag1 Ag 0.749 0.749 0.214 1
W1 W 0.245 0.245 0.734 1
W2 W 0.490 0.490 0.511 1
# DFT formation energy	0.546	eV per atom
# N(E_F)	0.78	states/eV per atom
# spin magnetization	0.00	μB/f.u.

Number 3 is which compound? Li2AgW